First-principles (PBE) data for an optimized crystal structure of Tb3Dy7Er, as listed in Alexandria via LeMat-Bulk.

The structure in POSCAR format:
```
Tb3Dy7Er
1.0
-1.165 4.872 -2.272
-2.636 -4.544 -8.400
-4.268 -4.197 6.510
Tb Dy Er
3 7 1
Direct
0.281 0.001 0.781 Tb
0.000 0.500 0.000 Tb
0.719 0.999 0.219 Tb
0.912 0.830 0.912 Dy
0.855 0.709 0.356 Dy
0.682 0.361 0.182 Dy
0.318 0.639 0.818 Dy
0.500 0.000 0.500 Dy
0.145 0.291 0.644 Dy
0.088 0.170 0.088 Dy
0.500 0.500 0.500 Er
```

## Properties
E above lowest polymorph = 0.0 kJ per mole of atoms
uncorrected energy = -49.07 eV for the cell shown
energy of formation from the pure elements = 0.1449 eV/atom